DFT (PBE) results for an optimized crystal structure of Ca3HfPa2N6.

## Properties
D(E_F) = 6.07 states/eV/cell
energy relative to the elements, uncorrected = -1.50 eV/atom
symmetry = C2/m

```
Ca3HfPa2N6
1.0
-5.162 -3.052 0.060
3.536 -0.179 -4.841
3.231 -3.440 3.718
Pa Hf N Ca
2 1 6 3
direct
0.333 0.667 0.000
0.667 0.333 0.000
0.000 0.000 0.000
0.256 0.256 0.786
0.398 0.071 0.213
0.744 0.744 0.214
0.929 0.602 0.787
0.602 0.929 0.787
0.071 0.398 0.213
0.836 0.164 0.500
0.164 0.836 0.500
0.500 0.500 0.500
```


DFT (PBE) results for an optimized crystal structure of Ca3Hf2PaN6.

## Properties
D(E_F) = 2.78 states/eV/cell
energy relative to the elements, uncorrected = -1.55 eV/atom
symmetry = C2/m

```
Ca3Hf2PaN6
1.0
-1.578 2.945 0.541
-5.850 -3.372 1.296
4.138 -0.891 6.335
N Ca Pa Hf
6 3 1 2
direct
0.011 0.237 0.022
0.340 0.889 0.680
0.989 0.763 0.978
0.324 0.434 0.648
0.660 0.111 0.320
0.676 0.566 0.352
0.170 0.831 0.341
0.500 0.500 0.000
0.830 0.169 0.659
0.500 0.000 0.000
0.171 0.343 0.342
0.829 0.657 0.658
```


DFT (PBE) results for an optimized crystal structure of CaHf3Pa2N6.

## Properties
D(E_F) = 4.51 states/eV/cell
energy relative to the elements, uncorrected = -1.66 eV/atom
symmetry = C2/m

```
CaHf3Pa2N6
1.0
3.300 0.000 0.000
0.000 6.779 0.170
-1.650 -2.031 7.021
Pa N Hf Ca
2 6 3 1
direct
0.833 0.665 0.666
0.167 0.335 0.334
0.001 0.730 0.003
0.327 0.927 0.655
0.999 0.270 0.997
0.659 0.602 0.318
0.673 0.073 0.345
0.341 0.398 0.682
0.836 0.168 0.671
0.164 0.832 0.329
0.500 0.500 0.000
0.500 0.000 0.000
```


DFT (PBE) results for an optimized crystal structure of CaPu2HfN4.

## Properties
D(E_F) = 13.65 states/eV/cell
energy relative to the elements, uncorrected = -1.32 eV/atom
symmetry = P2/m

```
CaPu2HfN4
1.0
-0.907 2.332 -2.286
-2.569 -4.195 -3.259
-5.682 -0.626 1.617
Pu N Hf Ca
2 4 1 1
direct
0.000 0.000 0.000
0.500 0.000 0.500
0.500 0.265 0.729
0.500 0.735 0.271
0.000 0.246 0.283
0.000 0.754 0.717
0.000 0.500 0.500
0.500 0.500 0.000
```


DFT (PBE) results for an optimized crystal structure of Ca3PuHf3N8.

## Properties
D(E_F) = 6.86 states/eV/cell
energy relative to the elements, uncorrected = -1.37 eV/atom
symmetry = R-3m

```
Ca3PuHf3N8
1.0
-1.218 -1.937 6.172
5.205 -2.400 -3.237
0.122 6.504 2.066
N Pu Ca Hf
8 1 3 3
direct
0.773 0.030 0.303
0.227 0.454 0.697
0.262 0.524 0.286
0.227 0.970 0.697
0.743 0.970 0.697
0.773 0.546 0.303
0.257 0.030 0.303
0.738 0.476 0.714
0.000 0.000 0.500
0.500 0.500 0.000
0.000 0.500 0.000
0.000 0.000 0.000
0.500 0.500 0.500
0.500 0.000 0.500
0.000 0.500 0.500
```


DFT (PBE) results for an optimized crystal structure of Ca3Hf3ReN8.

## Properties
D(E_F) = 3.98 states/eV/cell
energy relative to the elements, uncorrected = -1.20 eV/atom
symmetry = R-3m

```
Ca3Hf3ReN8
1.0
6.412 0.000 0.000
-3.206 5.552 -0.020
0.000 -3.683 5.652
N Hf Re Ca
8 3 1 3
direct
0.247 0.023 0.300
0.753 0.977 0.700
0.776 0.023 0.300
0.223 0.447 0.700
0.777 0.553 0.300
0.262 0.524 0.287
0.738 0.476 0.713
0.224 0.977 0.700
0.500 0.500 0.500
0.000 0.500 0.500
0.500 0.000 0.500
0.000 0.000 0.500
0.000 0.500 0.000
0.500 0.500 0.000
0.000 0.000 0.000
```


DFT (PBE) results for an optimized crystal structure of CaHf2RhN4.

## Properties
D(E_F) = 10.14 states/eV/cell
energy relative to the elements, uncorrected = -1.02 eV/atom
symmetry = Cmcm

```
CaHf2RhN4
1.0
-0.918 3.061 -0.070
-4.750 -3.121 -1.237
-2.583 -0.517 11.217
N Rh Hf Ca
8 2 4 2
direct
0.000 0.000 0.500
0.541 0.082 0.250
0.262 0.525 0.104
0.459 0.918 0.750
0.000 0.000 0.000
0.738 0.475 0.896
0.262 0.525 0.396
0.738 0.475 0.604
0.150 0.299 0.250
0.850 0.701 0.750
0.632 0.264 0.047
0.368 0.736 0.953
0.368 0.736 0.547
0.632 0.264 0.453
0.884 0.768 0.250
0.116 0.232 0.750
```


DFT (PBE) results for an optimized crystal structure of CaHfSN2.

## Properties
D(E_F) = 3.60 states/eV/cell
energy relative to the elements, uncorrected = -0.74 eV/atom
symmetry = P4/mmm

```
CaHfSN2
1.0
-0.403 -4.077 0.620
2.085 -0.739 -3.503
4.454 -0.036 2.659
N Hf Ca S
2 1 1 1
direct
0.000 0.500 0.000
0.500 0.000 0.000
0.000 0.000 0.000
0.500 0.500 0.500
0.000 0.000 0.500
```


Here are the calculated DFT total energy numbers, same order: -8.57, -8.66, -10.06, -10.56, -9.16, -8.86, -8.84, -7.29 (eV per atom).